# 1
Below is a relaxed PuHg2PtO6 crystal, with properties calculated at the PBE-GGA level.

## Properties
Formation energy without anion corrections in meV/atom: -1108.7
Magnetization in μB/f.u.: 3.98
SG: R-3

```
PuHg2PtO6
1.0
2.867 1.655 4.803
-2.867 1.655 4.803
0.000 -3.310 4.803
Pu Hg Pt O
1 2 1 6
direct
0.000 0.000 0.000
0.245 0.245 0.245
0.755 0.755 0.755
0.500 0.500 0.500
0.159 0.365 0.735
0.265 0.841 0.635
0.365 0.735 0.159
0.635 0.265 0.841
0.735 0.159 0.365
0.841 0.635 0.265
```


# 2
Below is a relaxed Rb2HgPtO4 crystal, with properties calculated at the PBE-GGA level.

## Properties
Formation energy without anion corrections in meV/atom: -694.2
Magnetization in μB/f.u.: 2.01
SG: Fddd

```
Rb2HgPtO4
1.0
0.000 7.092 10.148
3.312 0.000 10.148
3.312 7.092 0.000
Rb Hg Pt O
4 2 2 8
direct
0.053 0.053 0.697
0.303 0.303 0.947
0.697 0.697 0.053
0.947 0.947 0.303
0.125 0.125 0.125
0.875 0.875 0.875
0.375 0.375 0.375
0.625 0.625 0.625
0.070 0.680 0.492
0.258 0.492 0.680
0.320 0.930 0.742
0.492 0.258 0.070
0.508 0.742 0.930
0.680 0.070 0.258
0.742 0.508 0.320
0.930 0.320 0.508
```


# 3
Below is a relaxed HgPtSO6 crystal, with properties calculated at the PBE-GGA level.

## Properties
Formation energy without anion corrections in meV/atom: -526.3
Magnetization in μB/f.u.: 0.00
SG: P312

```
HgPtSO6
1.0
4.991 0.000 0.000
-2.496 4.323 0.000
0.000 0.000 4.996
Hg Pt S O
1 1 1 6
direct
0.000 0.000 0.000
0.333 0.667 0.500
0.667 0.333 0.500
0.396 0.047 0.698
0.396 0.350 0.302
0.650 0.047 0.302
0.650 0.604 0.698
0.953 0.350 0.698
0.953 0.604 0.302
```


# 4
Below is a relaxed HgPtS2O8 crystal, with properties calculated at the PBE-GGA level.

## Properties
Formation energy without anion corrections in meV/atom: -901.9
Magnetization in μB/f.u.: 0.00
SG: C2/m

```
HgPtS2O8
1.0
4.832 -2.557 0.000
4.832 2.557 0.000
-4.657 0.000 7.039
Hg Pt S O
1 1 2 8
direct
0.000 0.000 0.000
0.000 0.000 0.500
0.398 0.398 0.221
0.602 0.602 0.779
0.250 0.250 0.237
0.257 0.736 0.679
0.264 0.743 0.321
0.358 0.358 0.027
0.642 0.642 0.973
0.736 0.257 0.679
0.743 0.264 0.321
0.750 0.750 0.763
```


# 5
Below is a relaxed HgSbPtO6 crystal, with properties calculated at the PBE-GGA level.

## Properties
Formation energy without anion corrections in meV/atom: -729.9
Magnetization in μB/f.u.: 0.00
SG: P-31c

```
HgSbPtO6
1.0
5.344 0.000 0.000
-2.672 4.628 0.000
0.000 0.000 9.835
Hg Sb Pt O
2 2 2 12
direct
0.000 0.000 0.000
0.000 0.000 0.500
0.333 0.667 0.250
0.667 0.333 0.750
0.333 0.667 0.750
0.667 0.333 0.250
0.003 0.372 0.638
0.003 0.631 0.862
0.369 0.372 0.862
0.369 0.997 0.638
0.372 0.003 0.138
0.372 0.369 0.362
0.628 0.631 0.638
0.628 0.997 0.862
0.631 0.003 0.362
0.631 0.628 0.138
0.997 0.369 0.138
0.997 0.628 0.362
```


# 6
Below is a relaxed Sc4HgPtO crystal, with properties calculated at the PBE-GGA level.

## Properties
Formation energy without anion corrections in meV/atom: -1303.6
Magnetization in μB/f.u.: 0.00
SG: Cmcm

```
Sc4HgPtO
1.0
3.055 -7.123 0.000
3.055 7.123 0.000
0.000 0.000 6.118
Sc Hg Pt O
8 2 2 2
direct
0.000 0.500 0.000
0.000 0.500 0.500
0.063 0.937 0.750
0.418 0.582 0.750
0.500 0.000 0.000
0.500 0.000 0.500
0.582 0.418 0.250
0.937 0.063 0.250
0.388 0.612 0.250
0.612 0.388 0.750
0.121 0.879 0.250
0.879 0.121 0.750
0.255 0.745 0.750
0.745 0.255 0.250
```


# 7
Below is a relaxed HgPtSe2O8 crystal, with properties calculated at the PBE-GGA level.

## Properties
Formation energy without anion corrections in meV/atom: -329.9
Magnetization in μB/f.u.: 0.00
SG: P-3m1

```
HgPtSe2O8
1.0
5.846 0.000 0.000
-2.923 5.063 0.000
0.000 0.000 6.493
Hg Pt Se O
1 1 2 8
direct
0.000 0.000 0.000
0.000 0.000 0.500
0.333 0.667 0.266
0.667 0.333 0.734
0.147 0.295 0.289
0.147 0.853 0.289
0.295 0.147 0.711
0.333 0.667 0.014
0.667 0.333 0.986
0.705 0.853 0.289
0.853 0.147 0.711
0.853 0.705 0.711
```


# 8
Below is a relaxed Sm2HgPtO5 crystal, with properties calculated at the PBE-GGA level.

## Properties
Formation energy without anion corrections in meV/atom: -1905.5
Magnetization in μB/f.u.: 0.41
SG: P4/mbm

```
Sm2HgPtO5
1.0
6.852 0.000 0.000
0.000 6.852 0.000
0.000 0.000 5.713
Sm Hg Pt O
4 2 2 10
direct
0.175 0.325 0.000
0.325 0.825 0.000
0.675 0.175 0.000
0.825 0.675 0.000
0.000 0.000 0.500
0.500 0.500 0.500
0.000 0.500 0.500
0.500 0.000 0.500
0.000 0.000 0.000
0.134 0.634 0.237
0.134 0.634 0.763
0.366 0.134 0.237
0.366 0.134 0.763
0.500 0.500 0.000
0.634 0.866 0.237
0.634 0.866 0.763
0.866 0.366 0.237
0.866 0.366 0.763
```


# 9
Below is a relaxed SmHgPtO4 crystal, with properties calculated at the PBE-GGA level.

## Properties
Formation energy without anion corrections in meV/atom: -1364.4
Magnetization in μB/f.u.: 0.00
SG: Imma

```
SmHgPtO4
1.0
-3.181 3.777 4.574
3.181 -3.777 4.574
3.181 3.777 -4.574
Sm Hg Pt O
2 2 2 8
direct
0.000 0.000 0.000
0.500 0.000 0.500
0.397 0.647 0.750
0.603 0.353 0.250
0.000 0.000 0.500
0.000 0.500 0.000
0.173 0.748 0.426
0.178 0.252 0.926
0.227 0.200 0.473
0.227 0.754 0.027
0.773 0.246 0.973
0.773 0.800 0.527
0.822 0.748 0.074
0.827 0.252 0.574
```


# 10
Below is a relaxed SnHgPtO6 crystal, with properties calculated at the PBE-GGA level.

## Properties
Formation energy without anion corrections in meV/atom: -632.7
Magnetization in μB/f.u.: 0.00
SG: P-31c

```
SnHgPtO6
1.0
5.427 0.000 0.000
-2.714 4.700 0.000
0.000 0.000 9.466
Sn Hg Pt O
2 2 2 12
direct
0.333 0.667 0.250
0.667 0.333 0.750
0.000 0.000 0.000
0.000 0.000 0.500
0.333 0.667 0.750
0.667 0.333 0.250
0.016 0.378 0.634
0.016 0.638 0.866
0.362 0.378 0.866
0.362 0.984 0.634
0.378 0.016 0.134
0.378 0.362 0.366
0.622 0.638 0.634
0.622 0.984 0.866
0.638 0.016 0.366
0.638 0.622 0.134
0.984 0.362 0.134
0.984 0.622 0.366
```


# 11
Below is a relaxed TbHgPtO4 crystal, with properties calculated at the PBE-GGA level.

## Properties
Formation energy without anion corrections in meV/atom: -1404.5
Magnetization in μB/f.u.: 0.00
SG: Imma

```
TbHgPtO4
1.0
-3.203 3.660 4.557
3.203 -3.660 4.557
3.203 3.660 -4.557
Tb Hg Pt O
2 2 2 8
direct
0.000 0.000 0.000
0.500 0.000 0.500
0.395 0.645 0.750
0.605 0.355 0.250
0.000 0.000 0.500
0.000 0.500 0.000
0.181 0.249 0.931
0.182 0.751 0.431
0.228 0.199 0.471
0.228 0.758 0.029
0.772 0.242 0.971
0.772 0.801 0.529
0.818 0.249 0.569
0.819 0.751 0.069
```


# 12
Below is a relaxed HgTePtO6 crystal, with properties calculated at the PBE-GGA level.

## Properties
Formation energy without anion corrections in meV/atom: -676.2
Magnetization in μB/f.u.: 0.00
SG: P-31c

```
HgTePtO6
1.0
5.304 0.000 0.000
-2.652 4.594 0.000
0.000 0.000 10.069
Hg Te Pt O
2 2 2 12
direct
0.000 0.000 0.000
0.000 0.000 0.500
0.333 0.667 0.250
0.667 0.333 0.750
0.333 0.667 0.750
0.667 0.333 0.250
0.007 0.371 0.142
0.007 0.636 0.358
0.364 0.371 0.358
0.364 0.993 0.142
0.371 0.007 0.642
0.371 0.364 0.858
0.629 0.636 0.142
0.629 0.993 0.358
0.636 0.007 0.858
0.636 0.629 0.642
0.993 0.364 0.642
0.993 0.629 0.858
```


What is the formation energy without anion corrections in the eleventh record?
-1404.5 meV/atom


What is the formula in the first record?
PuHg2PtO6